A | DFT (PBE-GGA) results for a relaxed structure of Cu2HPd4.

Cell: 5.5675 5.6009 6.0529 Å, 103.35 103.38 90.84°
Atoms (fractional coordinates):
Cu1 0.0000 0.0000 0.0000
Cu2 0.0076 0.5121 0.0022
Cu3 0.5137 0.0051 0.0015
Cu4 0.8486 0.8474 0.3314
H1 0.3938 0.4130 0.6496
H2 0.5625 0.6002 0.3315
Pd1 0.1729 0.1707 0.6833
Pd2 0.1734 0.6810 0.6768
Pd3 0.3275 0.8451 0.3210
Pd4 0.3323 0.3297 0.3155
Pd5 0.5245 0.5196 0.0068
Pd6 0.6820 0.1721 0.6766
Pd7 0.6829 0.6804 0.6670
Pd8 0.8447 0.3253 0.3212

Summary:
- volume (Å³ per cell) = 178.2
- magnetic moment (μB per formula unit) = 0.000

***

B | DFT (PBE-GGA) results for a relaxed structure of Cu2HPd4.

Cell: 4.8085 2.7764 13.5597 Å, 90.00 90.03 90.00°
Atoms (fractional coordinates):
Cu1 0.0000 0.0000 0.0000
Cu2 0.0006 0.0000 0.3137
Cu3 0.5000 0.5000 0.0000
Cu4 0.5006 0.5000 0.3137
H1 0.0007 0.0000 0.5425
H2 0.5007 0.5000 0.5425
Pd1 0.1673 0.5000 0.4719
Pd2 0.3327 0.0000 0.8443
Pd3 0.3339 0.0000 0.1576
Pd4 0.4986 0.5000 0.6703
Pd5 0.6673 0.0000 0.4719
Pd6 0.8327 0.5000 0.8443
Pd7 0.8339 0.5000 0.1576
Pd8 0.9986 0.0000 0.6703

Summary:
- volume (Å³ per cell) = 181.0
- magnetic moment (μB per formula unit) = 0.000

***

C | DFT (PBE-GGA) results for a relaxed structure of Cu2HPd4.

Cell: 3.7823 3.7823 13.2721 Å, 90.00 90.00 90.00°
Atoms (fractional coordinates):
Cu1 0.0000 0.0000 0.1464
Cu2 0.0000 0.0000 0.8536
Cu3 0.5000 0.5000 0.3536
Cu4 0.5000 0.5000 0.6464
H1 0.0000 0.0000 0.0000
H2 0.5000 0.5000 0.5000
Pd1 0.0000 0.0000 0.3338
Pd2 0.0000 0.0000 0.6662
Pd3 0.0000 0.5000 0.0000
Pd4 0.0000 0.5000 0.5000
Pd5 0.5000 0.0000 0.0000
Pd6 0.5000 0.0000 0.5000
Pd7 0.5000 0.5000 0.1662
Pd8 0.5000 0.5000 0.8338

Summary:
- volume (Å³ per cell) = 189.9
- magnetic moment (μB per formula unit) = 0.000

***

Most stable structure - A; separation to the second - 17 meV/atom.

***

A | DFT (PBE-GGA) results for a relaxed structure of CuHPd.

Cell: 5.0799 5.0799 5.0799 Å, 90.00 90.00 90.00°
Atoms (fractional coordinates):
Cu1 0.0000 0.0000 0.0000
Cu2 0.0000 0.5000 0.5000
Cu3 0.5000 0.0000 0.5000
Cu4 0.5000 0.5000 0.0000
H1 0.2500 0.2500 0.2500
H2 0.2500 0.7500 0.7500
H3 0.7500 0.2500 0.7500
H4 0.7500 0.7500 0.2500
Pd1 0.0000 0.0000 0.5000
Pd2 0.0000 0.5000 0.0000
Pd3 0.5000 0.0000 0.0000
Pd4 0.5000 0.5000 0.5000

Summary:
- volume (Å³ per cell) = 131.1
- magnetic moment (μB per formula unit) = 0.000

***

B | DFT (PBE-GGA) results for a relaxed structure of CuHPd.

Cell: 9.7329 2.8802 4.5827 Å, 90.00 110.45 90.00°
Atoms (fractional coordinates):
Cu1 0.1327 0.0000 0.3333
Cu2 0.3673 0.5000 0.6667
Cu3 0.6327 0.5000 0.3333
Cu4 0.8673 0.0000 0.6667
H1 0.2246 0.0000 0.7609
H2 0.2754 0.5000 0.2391
H3 0.7246 0.5000 0.7609
H4 0.7754 0.0000 0.2391
Pd1 0.1115 0.5000 0.8225
Pd2 0.3885 0.0000 0.1775
Pd3 0.6115 0.0000 0.8225
Pd4 0.8885 0.5000 0.1775

Summary:
- volume (Å³ per cell) = 120.4
- magnetic moment (μB per formula unit) = 0.000

***

Most stable structure - B; separation to the second - 297 meV/atom.

***

A | DFT (PBE-GGA) results for a relaxed structure of CuHPd2.

Cell: 5.9697 5.9697 5.3455 Å, 90.00 90.00 90.00°
Atoms (fractional coordinates):
Cu1 0.0000 0.0000 0.0000
Cu2 0.0000 0.5000 0.2500
Cu3 0.5000 0.0000 0.7500
Cu4 0.5000 0.5000 0.5000
H1 0.0000 0.0000 0.5000
H2 0.0000 0.5000 0.7500
H3 0.5000 0.0000 0.2500
H4 0.5000 0.5000 0.0000
Pd1 0.1541 0.2500 0.6250
Pd2 0.2500 0.6541 0.8750
Pd3 0.2500 0.8459 0.3750
Pd4 0.3459 0.2500 0.1250
Pd5 0.6541 0.7500 0.1250
Pd6 0.7500 0.1541 0.3750
Pd7 0.7500 0.3459 0.8750
Pd8 0.8459 0.7500 0.6250

Summary:
- volume (Å³ per cell) = 190.5
- magnetic moment (μB per formula unit) = 0.000

***

B | DFT (PBE-GGA) results for a relaxed structure of CuHPd2.

Cell: 5.8101 5.8101 5.8101 Å, 90.00 90.00 90.00°
Atoms (fractional coordinates):
Cu1 0.0000 0.0000 0.0000
Cu2 0.0000 0.5000 0.5000
Cu3 0.5000 0.0000 0.5000
Cu4 0.5000 0.5000 0.0000
H1 0.0000 0.0000 0.5000
H2 0.0000 0.5000 0.0000
H3 0.5000 0.0000 0.0000
H4 0.5000 0.5000 0.5000
Pd1 0.2500 0.2500 0.2500
Pd2 0.2500 0.2500 0.7500
Pd3 0.2500 0.7500 0.2500
Pd4 0.2500 0.7500 0.7500
Pd5 0.7500 0.2500 0.2500
Pd6 0.7500 0.2500 0.7500
Pd7 0.7500 0.7500 0.2500
Pd8 0.7500 0.7500 0.7500

Summary:
- volume (Å³ per cell) = 196.1
- magnetic moment (μB per formula unit) = 0.000

***

C | DFT (PBE-GGA) results for a relaxed structure of CuHPd2.

Cell: 2.7252 2.7252 6.2921 Å, 90.00 90.00 90.00°
Atoms (fractional coordinates):
Cu1 0.0000 0.0000 0.0000
H1 0.0000 0.0000 0.5000
Pd1 0.5000 0.5000 0.2905
Pd2 0.5000 0.5000 0.7095

Summary:
- volume (Å³ per cell) = 46.7
- magnetic moment (μB per formula unit) = 0.000

***

Most stable structure - A; separation to the second - 137 meV/atom.

***

A | DFT (PBE-GGA) results for a relaxed structure of CuHPd2.

Cell: 5.8505 5.8505 2.7965 Å, 90.00 90.00 90.00°
Atoms (fractional coordinates):
Cu1 0.0000 0.0000 0.0000
Cu2 0.5000 0.5000 0.0000
H1 0.0000 0.5000 0.0000
H2 0.5000 0.0000 0.0000
Pd1 0.1632 0.3368 0.5000
Pd2 0.3368 0.8368 0.5000
Pd3 0.6632 0.1632 0.5000
Pd4 0.8368 0.6632 0.5000

Summary:
- volume (Å³ per cell) = 95.7
- magnetic moment (μB per formula unit) = 0.000

***

B | DFT (PBE-GGA) results for a relaxed structure of CuHPd2.

Cell: 2.8170 2.8170 20.0083 Å, 90.00 90.00 120.00°
Atoms (fractional coordinates):
Cu1 0.0000 0.0000 0.0000
Cu2 0.3333 0.6667 0.6667
Cu3 0.6667 0.3333 0.3333
H1 0.0000 0.0000 0.1684
H2 0.3333 0.6667 0.8350
H3 0.6667 0.3333 0.5017
Pd1 0.0000 0.0000 0.5608
Pd2 0.0000 0.0000 0.7719
Pd3 0.3333 0.6667 0.2275
Pd4 0.3333 0.6667 0.4386
Pd5 0.6667 0.3333 0.1053
Pd6 0.6667 0.3333 0.8942

Summary:
- volume (Å³ per cell) = 137.5
- magnetic moment (μB per formula unit) = 0.000

***

C | DFT (PBE-GGA) results for a relaxed structure of CuHPd2.

Cell: 2.8194 11.8623 5.5843 Å, 90.00 90.00 90.00°
Atoms (fractional coordinates):
Cu1 0.0000 0.0022 0.2500
Cu2 0.0000 0.9978 0.7500
Cu3 0.5000 0.4978 0.7500
Cu4 0.5000 0.5022 0.2500
H1 0.0000 0.2559 0.7500
H2 0.0000 0.7441 0.2500
H3 0.5000 0.2441 0.2500
H4 0.5000 0.7559 0.7500
Pd1 0.0000 0.3524 0.0023
Pd2 0.0000 0.3524 0.4977
Pd3 0.0000 0.6476 0.5023
Pd4 0.0000 0.6476 0.9977
Pd5 0.5000 0.1476 0.5023
Pd6 0.5000 0.1476 0.9977
Pd7 0.5000 0.8524 0.0023
Pd8 0.5000 0.8524 0.4977

Summary:
- volume (Å³ per cell) = 186.8
- magnetic moment (μB per formula unit) = 0.000

***

Most stable structure - B; separation to the second - 36 meV/atom.

***

A | DFT (PBE-GGA) results for a relaxed structure of Cu2HPd.

Cell: 2.7323 2.7323 19.5490 Å, 90.00 90.00 120.00°
Atoms (fractional coordinates):
Cu1 0.0000 0.0000 0.2222
Cu2 0.0000 0.0000 0.7778
Cu3 0.3333 0.6667 0.4445
Cu4 0.3333 0.6667 0.8889
Cu5 0.6667 0.3333 0.1111
Cu6 0.6667 0.3333 0.5555
H1 0.0000 0.0000 0.5000
H2 0.3333 0.6667 0.1667
H3 0.6667 0.3333 0.8333
Pd1 0.0000 0.0000 0.0000
Pd2 0.3333 0.6667 0.6667
Pd3 0.6667 0.3333 0.3333

Summary:
- volume (Å³ per cell) = 126.4
- magnetic moment (μB per formula unit) = 0.000

***

B | DFT (PBE-GGA) results for a relaxed structure of Cu2HPd.

Cell: 5.7825 5.7825 5.7825 Å, 90.00 90.00 90.00°
Atoms (fractional coordinates):
Cu1 0.2500 0.2500 0.2500
Cu2 0.2500 0.2500 0.7500
Cu3 0.2500 0.7500 0.2500
Cu4 0.2500 0.7500 0.7500
Cu5 0.7500 0.2500 0.2500
Cu6 0.7500 0.2500 0.7500
Cu7 0.7500 0.7500 0.2500
Cu8 0.7500 0.7500 0.7500
H1 0.0000 0.0000 0.0000
H2 0.0000 0.5000 0.5000
H3 0.5000 0.0000 0.5000
H4 0.5000 0.5000 0.0000
Pd1 0.0000 0.0000 0.5000
Pd2 0.0000 0.5000 0.0000
Pd3 0.5000 0.0000 0.0000
Pd4 0.5000 0.5000 0.5000

Summary:
- volume (Å³ per cell) = 193.3
- magnetic moment (μB per formula unit) = 0.000

***

C | DFT (PBE-GGA) results for a relaxed structure of Cu2HPd.

Cell: 5.4603 7.3058 4.3585 Å, 90.00 90.00 90.00°
Atoms (fractional coordinates):
Cu1 0.2082 0.0764 0.2066
Cu2 0.2082 0.4236 0.2066
Cu3 0.2918 0.5764 0.7066
Cu4 0.2918 0.9236 0.7066
Cu5 0.7082 0.0764 0.2934
Cu6 0.7082 0.4236 0.2934
Cu7 0.7918 0.5764 0.7934
Cu8 0.7918 0.9236 0.7934
H1 0.2199 0.7500 0.9853
H2 0.2801 0.2500 0.4853
H3 0.7199 0.7500 0.5147
H4 0.7801 0.2500 0.0147
Pd1 0.0091 0.2500 0.7138
Pd2 0.4909 0.7500 0.2138
Pd3 0.5091 0.2500 0.7862
Pd4 0.9909 0.7500 0.2862

Summary:
- volume (Å³ per cell) = 173.9
- magnetic moment (μB per formula unit) = 0.000

***

Most stable structure - C; separation to the second - 22 meV/atom.

***

A | DFT (PBE-GGA) results for a relaxed structure of Cu2HPd.

Cell: 5.5030 5.5030 5.8852 Å, 90.00 90.00 90.00°
Atoms (fractional coordinates):
Cu1 0.1131 0.2500 0.1250
Cu2 0.2500 0.6131 0.3750
Cu3 0.2500 0.8869 0.8750
Cu4 0.3869 0.2500 0.6250
Cu5 0.6131 0.7500 0.6250
Cu6 0.7500 0.1131 0.8750
Cu7 0.7500 0.3869 0.3750
Cu8 0.8869 0.7500 0.1250
H1 0.0000 0.0000 0.0000
H2 0.0000 0.5000 0.2500
H3 0.5000 0.0000 0.7500
H4 0.5000 0.5000 0.5000
Pd1 0.0000 0.0000 0.5000
Pd2 0.0000 0.5000 0.7500
Pd3 0.5000 0.0000 0.2500
Pd4 0.5000 0.5000 0.0000

Summary:
- volume (Å³ per cell) = 178.2
- magnetic moment (μB per formula unit) = 0.000

***

B | DFT (PBE-GGA) results for a relaxed structure of Cu2HPd.

Cell: 2.7295 2.7295 19.6216 Å, 90.00 90.00 120.00°
Atoms (fractional coordinates):
Cu1 0.0000 0.0000 0.0000
Cu2 0.0000 0.0000 0.2226
Cu3 0.3333 0.6667 0.6667
Cu4 0.3333 0.6667 0.8893
Cu5 0.6667 0.3333 0.3333
Cu6 0.6667 0.3333 0.5559
H1 0.0000 0.0000 0.6123
H2 0.3333 0.6667 0.2790
H3 0.6667 0.3333 0.9456
Pd1 0.0000 0.0000 0.4448
Pd2 0.3333 0.6667 0.1115
Pd3 0.6667 0.3333 0.7781

Summary:
- volume (Å³ per cell) = 126.6
- magnetic moment (μB per formula unit) = 0.000

***

Most stable structure - B; separation to the second - 82 meV/atom.

***

A | DFT (PBE-GGA) results for a relaxed structure of Cu2HPd.

Cell: 4.0454 4.0454 3.2876 Å, 90.00 90.00 120.00°
Atoms (fractional coordinates):
Cu1 0.3333 0.6667 0.0000
Cu2 0.6667 0.3333 0.0000
H1 0.0000 0.0000 0.0000
Pd1 0.0000 0.0000 0.5000

Summary:
- volume (Å³ per cell) = 46.6
- magnetic moment (μB per formula unit) = 0.000

***

B | DFT (PBE-GGA) results for a relaxed structure of Cu2HPd.

Cell: 2.6258 2.6258 6.3546 Å, 90.00 90.00 90.00°
Atoms (fractional coordinates):
Cu1 0.0000 0.0000 0.1919
Cu2 0.0000 0.0000 0.8081
H1 0.5000 0.5000 0.0000
Pd1 0.5000 0.5000 0.5000

Summary:
- volume (Å³ per cell) = 43.8
- magnetic moment (μB per formula unit) = 0.000

***

Most stable structure - A; separation to the second - 55 meV/atom.

***

A | DFT (PBE-GGA) results for a relaxed structure of CuH4Pd5.

Cell: 5.5479 8.0599 4.6807 Å, 90.00 90.00 90.00°
Atoms (fractional coordinates):
Cu1 0.2500 0.2500 0.2162
Cu2 0.7500 0.7500 0.7838
H1 0.0077 0.2500 0.4844
H2 0.2500 0.5349 0.9527
H3 0.2500 0.9651 0.9527
H4 0.4923 0.2500 0.4844
H5 0.5077 0.7500 0.5156
H6 0.7500 0.0349 0.0473
H7 0.7500 0.4651 0.0473
H8 0.9923 0.7500 0.5156
Pd1 0.9997 0.0814 0.7513
Pd2 0.9997 0.4186 0.7513
Pd3 0.0003 0.5814 0.2487
Pd4 0.0003 0.9186 0.2487
Pd5 0.2500 0.7500 0.7585
Pd6 0.5003 0.0814 0.7513
Pd7 0.5003 0.4186 0.7513
Pd8 0.4997 0.5814 0.2487
Pd9 0.4997 0.9186 0.2487
Pd10 0.7500 0.2500 0.2415

Summary:
- volume (Å³ per cell) = 209.3
- magnetic moment (μB per formula unit) = 0.000

***

B | DFT (PBE-GGA) results for a relaxed structure of CuH4Pd5.

Cell: 2.9642 5.8404 6.1613 Å, 103.75 103.89 90.01°
Atoms (fractional coordinates):
Cu1 0.0000 0.0000 0.0000
H1 0.1708 0.1258 0.3496
H2 0.4987 0.2891 0.0008
H3 0.5013 0.7109 0.9992
H4 0.8292 0.8742 0.6504
Pd1 0.0000 0.5000 0.0000
Pd2 0.3357 0.6727 0.6701
Pd3 0.3391 0.1608 0.6774
Pd4 0.6609 0.8392 0.3226
Pd5 0.6643 0.3273 0.3299

Summary:
- volume (Å³ per cell) = 100.4
- magnetic moment (μB per formula unit) = 0.000

***

Most stable structure - B; separation to the second - 54 meV/atom.